Computed, not measured: crystalline YCo2 at its relaxed geometry at the PBEsol level of DFT.

The space group is C2/m (No. 12) and the conventional cell measures 10.053, 3.867 and 5.351 Å, with angles of 90.00, 109.85 and 90.00 degrees. The distinct sites, in fractional coordinates, are Y at (0.110, 0.000, 0.303), Co at (0.097, 0.500, 0.697) and Co at (0.212, 0.000, 0.876).

The total magnetic moment comes out at 1.70 μB per formula unit. For the formation energy, the calculation gives -99 meV per atom. As for the crystal system: monoclinic.

Computed, not measured: crystalline Y5Co3 at its relaxed geometry at the PBEsol level of DFT.

The space group is P6_3/mcm (No. 193) and the conventional cell measures 7.9267, 7.9267 and 6.1833 Å, with angles of 90.00, 90.00 and 120.00 degrees. The distinct sites, in fractional coordinates, are Y at (0.0000, 0.2557, 0.2500), Y at (0.3333, 0.6667, 0.0000) and Co at (0.0000, 0.3939, 0.7500).

The total magnetic moment comes out at 0.00 μB per formula unit. For the formation energy, the calculation gives -105 meV per atom. As for the crystal system: hexagonal.

Computed, not measured: crystalline YCo at its relaxed geometry at the PBEsol level of DFT.

The space group is P6_3/mmc (No. 194) and the conventional cell measures 4.4774, 4.4774 and 4.5082 Å, with angles of 90.00, 90.00 and 120.00 degrees. The distinct sites, in fractional coordinates, are Y at (0.3333, 0.6667, 0.2500) and Co at (0.0000, 0.0000, 0.0000).

The total magnetic moment comes out at 0.56 μB per formula unit. For the formation energy, the calculation gives -136 meV per atom. As for the crystal system: hexagonal.

Computed, not measured: crystalline YCo3 at its relaxed geometry at the PBEsol level of DFT.

The space group is R-3m (No. 166, hexagonal axes) and the conventional cell measures 3.9457, 3.9457 and 13.9427 Å, with angles of 90.00, 90.00 and 120.00 degrees. The distinct sites, in fractional coordinates, are Y at (0.0000, 0.0000, 0.0000), Co at (0.0000, 0.0000, 0.1917) and Co at (0.0000, 0.0000, 0.5000).

The total magnetic moment comes out at 3.56 μB per formula unit. For the formation energy, the calculation gives -65 meV per atom. As for the crystal system: trigonal.

Computed, not measured: crystalline YCo3 at its relaxed geometry at the PBEsol level of DFT.

The space group is Pmmn (No. 59, origin choice 2) and the conventional cell measures 3.957, 5.913 and 5.231 Å, with angles of 90.00, 90.00 and 90.00 degrees. The distinct sites, in fractional coordinates, are Y at (0.250, 0.250, 0.120), Co at (0.250, 0.053, 0.606) and Co at (0.250, 0.750, 0.328).

The total magnetic moment comes out at 3.47 μB per formula unit. For the formation energy, the calculation gives -71 meV per atom. As for the crystal system: orthorhombic.

Computed, not measured: crystalline YCo2 at its relaxed geometry at the PBEsol level of DFT.

The space group is C2/m (No. 12) and the conventional cell measures 10.471, 3.783 and 5.082 Å, with angles of 90.00, 100.87 and 90.00 degrees. The distinct sites, in fractional coordinates, are Y at (0.115, 0.000, 0.329), Co at (0.084, 0.500, 0.878) and Co at (0.203, 0.000, 0.875).

The total magnetic moment comes out at 1.82 μB per formula unit. For the formation energy, the calculation gives -54 meV per atom. As for the crystal system: monoclinic.

Computed, not measured: crystalline Y2Co7 at its relaxed geometry at the PBEsol level of DFT.

The space group is R-3m (No. 166, hexagonal axes) and the conventional cell measures 4.8747, 4.8747 and 35.5305 Å, with angles of 90.00, 90.00 and 120.00 degrees. The distinct sites, in fractional coordinates, are Y at (0.0000, 0.0000, 0.0515), Y at (0.0000, 0.0000, 0.1481), Co at (0.0000, 0.0000, 0.2786), Co at (0.0000, 0.0000, 0.3884), Co at (0.0000, 0.0000, 0.5000), Co at (0.0000, 0.5000, 0.0000) and Co at (0.0001, 0.5001, 0.1090).

The total magnetic moment comes out at 8.32 μB per formula unit. For the formation energy, the calculation gives -141 meV per atom. As for the crystal system: trigonal.

Computed, not measured: crystalline YCo2 at its relaxed geometry at the PBEsol level of DFT.

The space group is I4_1/amd (No. 141, origin choice 2) and the conventional cell measures 3.885, 3.885 and 12.969 Å, with angles of 90.00, 90.00 and 90.00 degrees. The distinct sites, in fractional coordinates, are Y at (0.000, 0.250, 0.375) and Co at (0.000, 0.250, 0.790).

The total magnetic moment comes out at 1.21 μB per formula unit. For the formation energy, the calculation gives -143 meV per atom. As for the crystal system: tetragonal.

Computed, not measured: crystalline YCo at its relaxed geometry at the PBEsol level of DFT.

The space group is Imma (No. 74) and the conventional cell measures 3.450, 4.070 and 11.095 Å, with angles of 90.00, 90.00 and 90.00 degrees. The distinct sites, in fractional coordinates, are Y at (0.000, 0.250, 0.115) and Co at (0.000, 0.250, 0.686).

The total magnetic moment comes out at 0.56 μB per formula unit. For the formation energy, the calculation gives -11 meV per atom. As for the crystal system: orthorhombic.

Computed, not measured: crystalline YCo5 at its relaxed geometry at the PBEsol level of DFT.

The space group is P6/mmm (No. 191) and the conventional cell measures 4.8339, 4.8339 and 3.8851 Å, with angles of 90.00, 90.00 and 120.00 degrees. The distinct sites, in fractional coordinates, are Y at (0.0000, 0.0000, 0.0000), Co at (0.0000, 0.5000, 0.5000) and Co at (0.3333, 0.6667, 0.0000).

The total magnetic moment comes out at 6.88 μB per formula unit. For the formation energy, the calculation gives -92 meV per atom. As for the crystal system: hexagonal.

Computed, not measured: crystalline YCo at its relaxed geometry at the PBEsol level of DFT.

The space group is R-3m (No. 166, hexagonal axes) and the conventional cell measures 3.8368, 3.8368 and 20.2201 Å, with angles of 90.00, 90.00 and 120.00 degrees. The distinct sites, in fractional coordinates, are Y at (0.0000, 0.0000, 0.0880) and Co at (0.0000, 0.0000, 0.3325).

The total magnetic moment comes out at 0.19 μB per formula unit. For the formation energy, the calculation gives -197 meV per atom. As for the crystal system: trigonal.

Computed, not measured: crystalline YCo at its relaxed geometry at the PBEsol level of DFT.

The space group is Cmcm (No. 63) and the conventional cell measures 3.975, 10.110 and 3.808 Å, with angles of 90.00, 90.00 and 90.00 degrees. The distinct sites, in fractional coordinates, are Y at (0.000, 0.144, 0.250) and Co at (0.000, 0.443, 0.250).

The total magnetic moment comes out at 0.01 μB per formula unit. For the formation energy, the calculation gives -191 meV per atom. As for the crystal system: orthorhombic.

Computed, not measured: crystalline YCo4 at its relaxed geometry at the PBEsol level of DFT.

The space group is I4/mmm (No. 139) and the conventional cell measures 3.839, 3.839 and 9.506 Å, with angles of 90.00, 90.00 and 90.00 degrees. The distinct sites, in fractional coordinates, are Y at (0.000, 0.000, 0.000), Co at (0.000, 0.000, 0.382) and Co at (0.000, 0.500, 0.250).

The total magnetic moment comes out at 5.54 μB per formula unit. For the formation energy, the calculation gives -43 meV per atom. As for the crystal system: tetragonal.

Computed, not measured: crystalline YCo5 at its relaxed geometry at the PBEsol level of DFT.

The space group is P6/mmm (No. 191) and the conventional cell measures 3.8851, 3.8851 and 6.2666 Å, with angles of 90.00, 90.00 and 120.00 degrees. The distinct sites, in fractional coordinates, are Y at (0.0000, 0.0000, 0.0000), Co at (0.0000, 0.0000, 0.5000) and Co at (0.3333, 0.6667, 0.3158).

The total magnetic moment comes out at 6.94 μB per formula unit. For the formation energy, the calculation gives 29 meV per atom. As for the crystal system: hexagonal.

Computed, not measured: crystalline YCo3 at its relaxed geometry at the PBEsol level of DFT.

The space group is Pnma (No. 62) and the conventional cell measures 6.945, 6.432 and 5.119 Å, with angles of 90.00, 90.00 and 90.00 degrees. The distinct sites, in fractional coordinates, are Y at (0.031, 0.250, 0.124), Co at (0.122, 0.750, 0.353) and Co at (0.165, 0.059, 0.590).

The total magnetic moment comes out at 3.48 μB per formula unit. For the formation energy, the calculation gives -67 meV per atom. As for the crystal system: orthorhombic.

Computed, not measured: crystalline YZnCo at its relaxed geometry at the PBEsol level of DFT.

The space group is I4mm (No. 107) and the conventional cell measures 3.258, 3.258 and 9.484 Å, with angles of 90.00, 90.00 and 90.00 degrees. The distinct sites, in fractional coordinates, are Y at (0.000, 0.000, 0.000), Zn at (0.000, 0.000, 0.706) and Co at (0.000, 0.000, 0.317).

The total magnetic moment comes out at 0.65 μB per formula unit. For the formation energy, the calculation gives -112 meV per atom. As for the crystal system: tetragonal.

Computed, not measured: crystalline Y2ZnCo at its relaxed geometry at the PBEsol level of DFT.

The space group is Amm2 (No. 38) and the conventional cell measures 4.188, 3.778 and 10.421 Å, with angles of 90.00, 90.00 and 90.00 degrees. The distinct sites, in fractional coordinates, are Y at (0.000, 0.000, 0.000), Y at (0.500, 0.000, 0.281), Zn at (0.500, 0.000, 0.575) and Co at (0.000, 0.000, 0.704).

The total magnetic moment comes out at 0.00 μB per formula unit. For the formation energy, the calculation gives -236 meV per atom. As for the crystal system: orthorhombic.

Computed, not measured: crystalline YZn2Co2 at its relaxed geometry at the PBEsol level of DFT.

The space group is I4/mmm (No. 139) and the conventional cell measures 3.893, 3.893 and 10.028 Å, with angles of 90.00, 90.00 and 90.00 degrees. The distinct sites, in fractional coordinates, are Y at (0.000, 0.000, 0.000), Zn at (0.000, 0.500, 0.250) and Co at (0.000, 0.000, 0.393).

The total magnetic moment comes out at 0.00 μB per formula unit. For the formation energy, the calculation gives -157 meV per atom. As for the crystal system: tetragonal.

Computed, not measured: crystalline YZnCo2 at its relaxed geometry at the PBEsol level of DFT.

The space group is P4/mmm (No. 123) and the conventional cell measures 4.069, 4.069 and 3.435 Å, with angles of 90.00, 90.00 and 90.00 degrees. The distinct sites, in fractional coordinates, are Y at (0.000, 0.000, 0.000), Zn at (0.500, 0.500, 0.000) and Co at (0.000, 0.500, 0.500).

The total magnetic moment comes out at 0.53 μB per formula unit. For the formation energy, the calculation gives 10 meV per atom. As for the crystal system: tetragonal.

Computed, not measured: crystalline Y3ZnCo at its relaxed geometry at the PBEsol level of DFT.

The space group is Pm-3m (No. 221) and the conventional cell measures 5.239, 5.239 and 5.239 Å, with angles of 90.00, 90.00 and 90.00 degrees. The distinct sites, in fractional coordinates, are Y at (0.000, 0.000, 0.500), Zn at (0.000, 0.000, 0.000) and Co at (0.500, 0.500, 0.500).

The total magnetic moment comes out at 0.38 μB per formula unit. For the formation energy, the calculation gives 771 meV per atom. As for the crystal system: cubic.